Np4OsRu: optimized geometry, PBE.

The value obtained for the formation energy from the elements is 0.22 eV/atom.

The space group is Cmc2_1 (No. 36) and the conventional cell measures 3.4380, 15.4718 and 8.0415 Å, with angles of 90.00, 90.00 and 90.00 degrees. The inequivalent atoms are Np at (0.0000, 0.0295, 0.0000), Np at (0.0000, 0.1911, 0.9796), Np at (0.0000, 0.2980, 0.2536), Np at (0.0000, 0.4589, 0.1858), Os at (0.0000, 0.1563, 0.4957) and Ru at (0.0000, 0.3726, 0.7422).



Np2OsRu: optimized geometry, PBE.

The value obtained for the formation energy from the elements is 0.09 eV/atom. As for the distance to the lowest polymorph of the same formula: 0.000 eV per atom.

The space group is Fm-3m (No. 225) and the conventional cell measures 6.7473, 6.7473 and 6.7473 Å, with angles of 90.00, 90.00 and 90.00 degrees. The inequivalent atoms are Np at (0.2500, 0.2500, 0.2500), Os at (0.0000, 0.0000, 0.0000) and Ru at (0.0000, 0.0000, 0.5000).



What is the formula in the first record?
Np4OsRu



Which value of formation energy from the elements does entry 2 give?
0.09 eV/atom



Look up the formation energy from the elements of the first one.
0.22 eV/atom